# 1
5
Lattice="-2.614 -3.750 -0.809 0.775 -1.544 4.648 -3.767 2.324 1.400" Properties=species:S:1:pos:R:3 comment="HfTc2BiBr, optimized geometry, DFT PBE-GGA" m_tot_mub_per_cell=0.00 spacegroup="P4/mmm, No. 123" formation_energy_uncorrected_kj_per_mol_atoms=103 dos_at_fermi_per_ev_fu=3.1 final_energy_ev_per_atom=-6.18 pbc="T T T"
Hf 0.388 -0.772 2.324
Tc -1.884 1.162 0.700
Br 0.000 0.000 0.000
Bi -2.803 -1.485 2.619
Tc -1.307 -1.875 -0.405

# 2
5
Lattice="5.151 0.000 0.000 0.000 4.743 0.000 0.000 0.000 5.151" Properties=species:S:1:pos:R:3 comment="Hf2TcBiBr, optimized geometry, DFT PBE-GGA" m_tot_mub_per_cell=0.00 spacegroup="P4/mmm, No. 123" formation_energy_uncorrected_kj_per_mol_atoms=46 dos_at_fermi_per_ev_fu=3.7 final_energy_ev_per_atom=-6.69 pbc="T T T"
Hf 2.575 0.000 0.000
Tc 0.000 0.000 0.000
Br 0.000 2.371 0.000
Bi 2.575 2.371 2.575
Hf 0.000 0.000 2.575

# 3
5
Lattice="-2.983 -2.783 3.411 -0.989 -3.413 -3.649 4.279 -2.800 1.458" Properties=species:S:1:pos:R:3 comment="HfTcBi2Br, optimized geometry, DFT PBE-GGA" m_tot_mub_per_cell=0.00 spacegroup="P4/mmm, No. 123" formation_energy_uncorrected_kj_per_mol_atoms=36 dos_at_fermi_per_ev_fu=4.8 final_energy_ev_per_atom=-5.58 pbc="T T T"
Bi 2.140 -1.400 0.729
Br 0.154 -4.497 0.610
Hf -0.495 -1.706 -1.824
Bi -1.491 -1.391 1.706
Tc 0.000 0.000 0.000

# 4
5
Lattice="5.549 0.000 0.000 0.000 5.848 0.000 0.000 0.000 5.549" Properties=species:S:1:pos:R:3 comment="Hf2BiTeBr, optimized geometry, DFT PBE-GGA" m_tot_mub_per_cell=0.77 spacegroup="P4/mmm, No. 123" formation_energy_uncorrected_kj_per_mol_atoms=113 dos_at_fermi_per_ev_fu=7.2 final_energy_ev_per_atom=-4.55 pbc="T T T"
Bi 0.000 0.000 0.000
Br 2.775 2.924 2.775
Hf 0.000 0.000 2.775
Hf 2.775 0.000 0.000
Te 0.000 2.924 0.000

# 5
5
Lattice="-5.027 -0.243 2.364 -1.275 -3.344 -3.054 1.838 -3.903 3.507" Properties=species:S:1:pos:R:3 comment="HfTiBi2Br, optimized geometry, DFT PBE-GGA" m_tot_mub_per_cell=0.76 spacegroup="P4/mmm, No. 123" formation_energy_uncorrected_kj_per_mol_atoms=42 dos_at_fermi_per_ev_fu=4.9 final_energy_ev_per_atom=-5.03 pbc="T T T"
Bi -2.513 -0.121 1.182
Br -0.637 -1.672 -1.527
Bi 0.919 -1.952 1.754
Hf -2.232 -3.745 1.409
Ti 0.000 0.000 0.000

# 6
5
Lattice="-2.385 -3.187 3.135 1.491 -4.632 -3.575 4.292 -0.638 2.616" Properties=species:S:1:pos:R:3 comment="HfZrBiBr2, optimized geometry, DFT PBE-GGA" m_tot_mub_per_cell=2.44 spacegroup="P4/mmm, No. 123" formation_energy_uncorrected_kj_per_mol_atoms=16 dos_at_fermi_per_ev_fu=7.0 final_energy_ev_per_atom=-4.98 pbc="T T T"
Br 2.146 -0.319 1.308
Zr 1.699 -4.229 1.088
Hf 0.000 0.000 0.000
Br -1.192 -1.594 1.567
Bi 0.745 -2.316 -1.788

# 7
4
Lattice="-0.299 -1.861 -3.924 3.036 -2.835 -1.301 -3.172 -7.341 1.308" Properties=species:S:1:pos:R:3 comment="Hg2BiBr, optimized geometry, DFT PBE-GGA" polymorph_energy_ev_per_atom=0.075 m_tot_mub_per_cell=0.00 spacegroup="R3m, No. 160" formation_energy_uncorrected_kj_per_mol_atoms=-2 dos_at_fermi_per_ev_fu=2.6 final_energy_ev_per_atom=-1.56 pbc="T T T"
Br -0.270 -6.092 -1.919
Hg -2.220 -5.994 0.597
Bi -1.329 -10.446 -2.188
Hg -0.005 -2.863 -1.056

# 8
16
Lattice="6.349 0.000 0.000 0.000 6.338 0.283 0.000 -0.463 12.087" Properties=species:S:1:pos:R:3 comment="Hg2BiBr, optimized geometry, DFT PBE-GGA" polymorph_energy_ev_per_atom=0.012 m_tot_mub_per_cell=0.00 spacegroup="P2/c, No. 13" formation_energy_uncorrected_kj_per_mol_atoms=-8 dos_at_fermi_per_ev_fu=1.5 final_energy_ev_per_atom=-1.63 pbc="T T T"
Br 1.615 6.165 4.812
Hg 4.667 -0.404 10.577
Br 4.734 2.764 10.714
Hg 1.561 2.799 10.725
Hg 4.788 -0.139 4.540
Hg 1.681 6.279 1.793
Hg 1.561 6.015 7.829
Bi 4.828 3.019 4.674
Bi 1.520 2.857 7.696
Br 4.734 -0.289 7.558
Br 1.615 3.111 1.655
Hg 4.788 3.077 1.644
Hg 4.667 2.879 7.695
Hg 1.681 2.997 4.675
Bi 4.828 6.257 1.794
Bi 1.520 -0.382 10.576